Record 1
The following is a DFT calculation (GGA-PBE) of a relaxed structure of NaPmZnIn.

Structure (POSCAR):
```
NaPmZnIn
1.0
0.000 3.689 3.689
3.689 0.000 3.689
3.689 3.689 0.000
Na Pm Zn In
1 1 1 1
direct
0.000 0.000 0.000 Na
0.500 0.500 0.500 Pm
0.750 0.750 0.750 Zn
0.250 0.250 0.250 In
```

Properties
SG = F-43m, No. 216
uncorrected energy = -2.723 eV/atom
theoretical density = 5.76 Mg/m³

Record 2
The following is a DFT calculation (GGA-PBE) of a relaxed structure of NaTmMg2.

Structure (POSCAR):
```
NaTmMg2
1.0
1.682 0.971 11.332
-1.682 0.971 11.332
0.000 -1.942 11.332
Na Tm Mg
1 1 2
direct
0.000 0.000 0.000 Na
0.500 0.500 0.500 Tm
0.248 0.248 0.248 Mg
0.752 0.752 0.752 Mg
```

Properties
SG = R-3m, No. 166
uncorrected energy = -2.166 eV/atom
relative energy among the computed polymorphs = 29.3 meV per atom
theoretical density = 3.60 Mg/m³

Record 3
The following is a DFT calculation (GGA-PBE) of a relaxed structure of Zn2Ga6Sn.

Structure (POSCAR):
```
Zn2Ga6Sn
1.0
2.120 -7.018 0.000
2.120 7.018 0.000
-1.853 0.000 5.821
Zn Ga Sn
2 6 1
direct
0.173 0.827 0.000 Zn
0.827 0.173 0.000 Zn
0.191 0.549 0.683 Ga
0.319 0.319 0.142 Ga
0.451 0.809 0.317 Ga
0.549 0.191 0.683 Ga
0.681 0.681 0.858 Ga
0.809 0.451 0.317 Ga
0.000 0.000 0.500 Sn
```

Properties
SG = C2/m, No. 12
uncorrected energy = -2.694 eV/atom
relative energy among the computed polymorphs = 0.0 meV per atom
theoretical density = 6.40 Mg/m³

Record 4
The following is a DFT calculation (GGA-PBE) of a relaxed structure of CrRh3Cl.

Structure (POSCAR):
```
CrRh3Cl
1.0
4.520 0.000 0.000
0.000 4.520 0.000
0.000 0.000 4.520
Cr Rh Cl
1 3 1
direct
0.000 0.000 0.000 Cr
0.000 0.000 0.500 Rh
0.000 0.500 0.000 Rh
0.500 0.000 0.000 Rh
0.500 0.500 0.500 Cl
```

Properties
SG = Pm-3m, No. 221
uncorrected energy = -5.606 eV/atom
relative energy among the computed polymorphs = 0.0 meV per atom
theoretical density = 7.12 Mg/m³
formation energy from raw total energies = 1.10 eV per atom

Record 5
The following is a DFT calculation (GGA-PBE) of a relaxed structure of PrSmMg.

Structure (POSCAR):
```
PrSmMg
1.0
-1.889 1.889 6.604
1.889 -1.889 6.604
1.889 1.889 -6.604
Pr Sm Mg
1 1 1
direct
0.000 0.000 0.000 Pr
0.313 0.313 0.000 Sm
0.660 0.660 0.000 Mg
```

Properties
SG = I4mm, No. 107
uncorrected energy = -3.750 eV/atom
relative energy among the computed polymorphs = 2.4 meV per atom
theoretical density = 5.56 Mg/m³

Record 6
The following is a DFT calculation (GGA-PBE) of a relaxed structure of HoErInGa.

Structure (POSCAR):
```
HoErInGa
1.0
3.520 0.000 0.000
0.000 3.520 0.000
0.000 0.000 7.838
Ho Er In Ga
1 1 1 1
direct
0.000 0.000 0.000 Ho
0.000 0.000 0.466 Er
0.500 0.500 0.732 In
0.500 0.500 0.234 Ga
```

Properties
SG = P4mm, No. 99
uncorrected energy = -4.234 eV/atom
relative energy among the computed polymorphs = 0.0 meV per atom
theoretical density = 8.84 Mg/m³